# 1
Below is crystalline CdCuAg2 at its relaxed geometry, with properties calculated at the PBEsol level.

Lattice parameters (Å, degrees): 3.0294 3.0294 6.9887 90.00 90.00 90.00
Positions (direct):
Cu1 0.5000 0.5000 0.7583
Ag1 0.0000 0.0000 0.9776
Ag2 0.5000 0.5000 0.2427
Cd1 0.0000 0.0000 0.5215

Calculated values
Its space-group type is No. 99. The formation energy comes out at 0.03 eV per atom. The calculation puts the calculated volume at 64.1 Å³ per cell. The value obtained for the density of states at the Fermi level is 1.04 states/eV/f.u.

# 2
Below is crystalline CdCuAg2 at its relaxed geometry, with properties calculated at the PBEsol level.

Lattice parameters (Å, degrees): 2.9140 3.8663 5.7112 90.00 90.00 90.00
Positions (direct):
Cu1 0.5000 0.5000 0.7579
Ag1 0.0000 0.0000 0.9882
Ag2 0.5000 0.5000 0.2440
Cd1 0.0000 0.0000 0.5098

Calculated values
Its space-group type is No. 25. The formation energy comes out at 0.04 eV per atom. The calculation puts the calculated volume at 64.3 Å³ per cell. The value obtained for the density of states at the Fermi level is 1.06 states/eV/f.u.

# 3
Below is crystalline CdCu2Ag at its relaxed geometry, with properties calculated at the PBEsol level.

Lattice parameters (Å, degrees): 2.8145 2.8145 8.8297 80.83 80.83 60.00
Positions (direct):
Ag1 0.5000 0.5000 0.5000
Cd1 0.0000 0.0000 0.0000
Cu1 0.2480 0.2480 0.2559
Cu2 0.7520 0.7520 0.7441

Calculated values
Its space-group type is No. 166. The formation energy comes out at 0.14 eV per atom. The calculation puts the calculated volume at 59.5 Å³ per cell. The value obtained for the density of states at the Fermi level is 1.16 states/eV/f.u.

# 4
Below is crystalline CdCuAg2 at its relaxed geometry, with properties calculated at the PBEsol level.

Lattice parameters (Å, degrees): 4.0142 4.0142 4.8927 114.22 114.22 90.00
Positions (direct):
Cu1 0.0000 0.0000 0.0000
Ag1 0.7500 0.2500 0.5000
Ag2 0.2500 0.7500 0.5000
Cd1 0.5000 0.5000 0.0000

Calculated values
Its space-group type is No. 139. The formation energy comes out at 0.03 eV per atom. The calculation puts the calculated volume at 64.2 Å³ per cell. The value obtained for the density of states at the Fermi level is 1.15 states/eV/f.u.

Copy entry 2 word for word.
Below is crystalline CdCuAg2 at its relaxed geometry, with properties calculated at the PBEsol level.

Lattice parameters (Å, degrees): 2.9140 3.8663 5.7112 90.00 90.00 90.00
Positions (direct):
Cu1 0.5000 0.5000 0.7579
Ag1 0.0000 0.0000 0.9882
Ag2 0.5000 0.5000 0.2440
Cd1 0.0000 0.0000 0.5098

Calculated values
Its space-group type is No. 25. The formation energy comes out at 0.04 eV per atom. The calculation puts the calculated volume at 64.3 Å³ per cell. The value obtained for the density of states at the Fermi level is 1.06 states/eV/f.u.